# 1
An optimized crystal structure of PmZrRh. Source: the Alexandria database, functional PBE.

DFT formation energy: -0.5605 eV per atom
Energy relative to the lowest polymorph listed for this composition: 0.001 eV/f.u.
DFT total energy: -7.44 eV per atom

Cell: 7.194 4.685 8.336 Å, 90.00 90.00 90.00°
Space group Pnma (No. 62)
Symmetry-distinct sites (fractional):
Pm  0.018  0.250  0.177 x4
Zr  0.139  0.250  0.579 x4
Rh  0.224  0.750  0.416 x4


# 2
An optimized crystal structure of Pm2ZrRh2. Source: the Alexandria database, functional PBE.

DFT formation energy: -0.6320 eV per atom
DFT total energy: -7.18 eV per atom

Cell: 10.735 6.007 7.519 Å, 90.00 102.23 90.00°
Space group C2/c (No. 15)
Symmetry-distinct sites (fractional):
Pm  0.150  0.119  0.149 x8
Zr  0.000  0.396  0.750 x4
Rh  0.139  0.354  0.501 x8


# 3
An optimized crystal structure of PmZrRh. Source: the Alexandria database, functional PBE.

DFT formation energy: -0.5084 eV per atom
Energy relative to the lowest polymorph listed for this composition: 0.158 eV/f.u.
DFT total energy: -7.39 eV per atom

Cell: 6.894 6.004 7.223 Å, 90.00 108.11 90.00°
Space group P2_1/c (No. 14)
Symmetry-distinct sites (fractional):
Pm  0.156  0.128  0.366 x4
Zr  0.424  0.640  0.297 x4
Rh  0.187  0.614  0.517 x4


# 4
An optimized crystal structure of PmZr2Rh3. Source: the Alexandria database, functional PBE.

DFT formation energy: -0.7514 eV per atom
DFT total energy: -8.07 eV per atom

Cell: 3.325 3.325 10.494 Å, 90.00 90.00 90.00°
Space group P4/mmm (No. 123)
Symmetry-distinct sites (fractional):
Pm  0.000  0.000  0.000 x1
Zr  0.000  0.000  0.340 x2
Rh  0.500  0.500  0.201 x2
Rh  0.500  0.500  0.500 x1


# 5
An optimized crystal structure of Pm3ZrRh4. Source: the Alexandria database, functional PBE.

DFT formation energy: -0.6987 eV per atom
DFT total energy: -7.22 eV per atom

Cell: 3.410 3.410 14.325 Å, 90.00 90.00 90.00°
Space group P4/mmm (No. 123)
Symmetry-distinct sites (fractional):
Pm  0.000  0.000  0.000 x1
Pm  0.000  0.000  0.256 x2
Zr  0.000  0.000  0.500 x1
Rh  0.500  0.500  0.129 x2
Rh  0.500  0.500  0.394 x2


# 6
An optimized crystal structure of Pm4ZrRh5. Source: the Alexandria database, functional PBE.

DFT formation energy: -0.6937 eV per atom
DFT total energy: -7.12 eV per atom

Cell: 3.429 3.429 17.846 Å, 90.00 90.00 90.00°
Space group P4/mmm (No. 123)
Symmetry-distinct sites (fractional):
Pm  0.000  0.000  0.102 x2
Pm  0.000  0.000  0.305 x2
Zr  0.000  0.000  0.500 x1
Rh  0.500  0.500  0.000 x1
Rh  0.500  0.500  0.204 x2
Rh  0.500  0.500  0.416 x2


# 7
An optimized crystal structure of PmZrRh. Source: the Alexandria database, functional PBE.

DFT formation energy: -0.3998 eV per atom
Energy relative to the lowest polymorph listed for this composition: 0.483 eV/f.u.
DFT total energy: -7.28 eV per atom

Cell: 3.437 3.437 11.693 Å, 90.00 90.00 90.00°
Space group I4mm (No. 107)
Symmetry-distinct sites (fractional):
Pm  0.000  0.000  0.000 x2
Zr  0.000  0.000  0.286 x2
Rh  0.000  0.000  0.676 x2


# 8
An optimized crystal structure of PmZrRh. Source: the Alexandria database, functional PBE.

DFT formation energy: -0.5609 eV per atom
Energy relative to the lowest polymorph listed for this composition: 0.000 eV/f.u.
DFT total energy: -7.44 eV per atom

Cell: 4.676 4.676 6.663 Å, 90.00 90.00 90.00°
Space group P4/nmm (No. 129, origin choice 2)
Symmetry-distinct sites (fractional):
Pm  0.250  0.250  0.127 x2
Zr  0.250  0.750  0.500 x2
Rh  0.250  0.250  0.700 x2


# 9
An optimized crystal structure of PmRu4. Source: the Alexandria database, functional PBE.

DFT formation energy: 2.4648 eV per atom
DFT total energy: -5.91 eV per atom

Cell: 4.830 4.830 4.830 Å, 90.00 90.00 90.00°
Space group Pm-3m (No. 221)
Symmetry-distinct sites (fractional):
Pm  0.000  0.000  0.000 x1
Ru  0.000  0.000  0.500 x3
Ru  0.500  0.500  0.500 x1


# 10
An optimized crystal structure of Pm3Ru2. Source: the Alexandria database, functional PBE.

DFT formation energy: -0.1268 eV per atom
DFT total energy: -6.69 eV per atom

Cell: 14.774 4.895 10.421 Å, 90.00 90.52 90.00°
Space group C2/m (No. 12)
Symmetry-distinct sites (fractional):
Pm  0.000  0.000  0.000 x2
Pm  0.003  0.000  0.334 x4
Pm  0.161  0.500  0.656 x4
Pm  0.167  0.500  0.988 x4
Pm  0.172  0.500  0.322 x4
Ru  0.002  0.500  0.167 x4
Ru  0.168  0.000  0.163 x4
Ru  0.168  0.000  0.496 x4